## TeP2Rh2 (meta-GGA SCAN)

Data for TeP2Rh2 at its PBEsol-relaxed geometry.

Results
Formation energy from raw total energies ... -0.21 eV/atom

abc: 3.7971 3.7971 11.4826
angles: 90.00 90.00 90.00
Space group I4/mmm (No. 139)
Inequivalent atoms, fractional coordinates:
Te  0.0000  0.0000  0.0000 [2 per cell]
P  0.0000  0.5000  0.2500 [4 per cell]
Rh  0.0000  0.0000  0.3719 [4 per cell]



## TeP2Rh (meta-GGA SCAN)

Data for TeP2Rh at its PBEsol-relaxed geometry.

Results
Formation energy from raw total energies ... -0.11 eV/atom

abc: 7.1194 2.9455 7.7978
angles: 90.00 104.69 90.00
Space group C2/m (No. 12)
Inequivalent atoms, fractional coordinates:
Te  0.0000  0.0000  0.0000 [2 per cell]
P  0.1654  0.0000  0.3477 [4 per cell]
Rh  0.0000  0.5000  0.5000 [2 per cell]



## TePRh2 (meta-GGA SCAN)

Data for TePRh2 at its PBEsol-relaxed geometry.

Results
E above lowest polymorph ... 0.858 eV per formula unit
Formation energy from raw total energies ... 0.06 eV/atom

abc: 4.3657 4.3657 3.2690
angles: 90.00 90.00 90.00
Space group P4/mmm (No. 123)
Inequivalent atoms, fractional coordinates:
Te  0.0000  0.0000  0.0000 [1 per cell]
P  0.5000  0.5000  0.0000 [1 per cell]
Rh  0.0000  0.5000  0.5000 [2 per cell]



## TePRh2 (meta-GGA SCAN)

Data for TePRh2 at its PBEsol-relaxed geometry.

Results
E above lowest polymorph ... 0.740 eV per formula unit
Formation energy from raw total energies ... 0.03 eV/atom

abc: 6.2820 6.2820 6.2820
angles: 90.00 90.00 90.00
Space group Fm-3m (No. 225)
Inequivalent atoms, fractional coordinates:
Te  0.0000  0.0000  0.0000 [4 per cell]
P  0.0000  0.0000  0.5000 [4 per cell]
Rh  0.2500  0.2500  0.2500 [8 per cell]



## Te2PRh (meta-GGA SCAN)

Data for Te2PRh at its PBEsol-relaxed geometry.

Results
Formation energy from raw total energies ... 0.55 eV/atom

abc: 3.3484 4.5102 5.1598
angles: 90.00 90.00 90.00
Space group Pmmm (No. 47)
Inequivalent atoms, fractional coordinates:
Te  0.0000  0.0000  0.0000 [1 per cell]
Te  0.5000  0.0000  0.5000 [1 per cell]
P  0.0000  0.5000  0.5000 [1 per cell]
Rh  0.5000  0.5000  0.0000 [1 per cell]



## TePRh (meta-GGA SCAN)

Data for TePRh at its PBEsol-relaxed geometry.

Results
Formation energy from raw total energies ... -0.65 eV/atom

abc: 6.0130 6.1100 12.0720
angles: 90.00 90.00 90.00
Space group Pbca (No. 61)
Inequivalent atoms, fractional coordinates:
Te  0.1170  0.0725  0.1752 [8 per cell]
P  0.1297  0.6751  0.9372 [8 per cell]
Rh  0.0213  0.1787  0.3847 [8 per cell]